(1)
# HfTe3C | the Alexandria database | GGA-PBE | relaxed
# V = 169.6 Å³ per cell
# formation energy (no corrections) = 1275 meV per atom
# D(E_F) = 0.899 states/eV per atom
# distance to the lowest polymorph of the same formula = 504 meV per atom
data_HfTe3C
_chemical_formula_sum 'Hf1 Te3 C1'
_cell_length_a 5.536
_cell_length_b 5.536
_cell_length_c 5.536
_cell_angle_alpha 90.00
_cell_angle_beta 90.00
_cell_angle_gamma 90.00
_symmetry_space_group_name_H-M 'P m -3 m'
_symmetry_Int_Tables_number 221
_symmetry_space_group_name_Hall '-P 4 2 3'
loop_
_atom_site_label
_atom_site_fract_x
_atom_site_fract_y
_atom_site_fract_z
Hf1 0.000 0.000 0.000
Te1 0.000 0.000 0.500
C1 0.500 0.500 0.500



(2)
# TaReHg | the Alexandria database | GGA-PBE | relaxed
# formation energy = 1.219 eV/f.u.
# V = 105.2 Å³ per cell
# D(E_F) = 0.377 states/eV per atom
# distance to the lowest polymorph of the same formula = 118 meV per atom
data_TaReHg
_chemical_formula_sum 'Ta2 Re2 Hg2'
_cell_length_a 2.771
_cell_length_b 4.358
_cell_length_c 8.707
_cell_angle_alpha 90.00
_cell_angle_beta 90.00
_cell_angle_gamma 90.00
_symmetry_space_group_name_H-M 'I m m 2'
_symmetry_Int_Tables_number 44
loop_
_symmetry_equiv_pos_as_xyz
'x,y,z'
'-x,-y,z'
'-x,y,z'
'x,-y,z'
'x+1/2,y+1/2,z+1/2'
'-x+1/2,-y+1/2,z+1/2'
'-x+1/2,y+1/2,z+1/2'
'x+1/2,-y+1/2,z+1/2'
loop_
_atom_site_label
_atom_site_fract_x
_atom_site_fract_y
_atom_site_fract_z
Ta1 0.000 0.000 0.000
Re1 0.000 0.000 0.337
Hg1 0.000 0.000 0.671



(3)
# PrTm2Ni | the Alexandria database | GGA-PBE | relaxed
# formation energy = -0.834 eV/f.u.
# V = 414.3 Å³ per cell
# D(E_F) = 0.964 states/eV per atom
# distance to the lowest polymorph of the same formula = 4 meV per atom
data_PrTm2Ni
_chemical_formula_sum 'Pr4 Tm8 Ni4'
_cell_length_a 4.770
_cell_length_b 11.942
_cell_length_c 7.273
_cell_angle_alpha 90.00
_cell_angle_beta 90.00
_cell_angle_gamma 90.00
_symmetry_space_group_name_H-M 'C m c m'
_symmetry_Int_Tables_number 63
_symmetry_space_group_name_Hall '-C 2c 2'
loop_
_atom_site_label
_atom_site_fract_x
_atom_site_fract_y
_atom_site_fract_z
Pr1 0.000 0.040 0.250
Tm1 0.000 0.344 0.030
Ni1 0.000 0.195 0.750



(4)
# Rb2CdCu3F12 | the Alexandria database | GGA-PBE | relaxed
# V = 846.4 Å³ per cell
# formation energy (no corrections) = -1922 meV per atom
# D(E_F) = 0.320 states/eV per atom
data_Rb2CdCu3F12
_chemical_formula_sum 'Rb6 Cd3 Cu9 F36'
_cell_length_a 7.4336
_cell_length_b 7.4336
_cell_length_c 17.6858
_cell_angle_alpha 90.00
_cell_angle_beta 90.00
_cell_angle_gamma 120.00
_symmetry_space_group_name_H-M 'R -3 m'
_symmetry_Int_Tables_number 166
_symmetry_space_group_name_Hall '-R 3 2"'
loop_
_atom_site_label
_atom_site_fract_x
_atom_site_fract_y
_atom_site_fract_z
Rb1 0.0000 0.0000 0.1184
Cd1 0.0000 0.0000 0.5000
Cu1 0.0000 0.5000 0.0000
F1 0.0185 0.5092 0.1085
F2 0.0767 0.5383 0.3380



(5)
# Li2CaOs | the Alexandria database | GGA-PBE | relaxed
# formation energy = 1.797 eV/f.u.
# V = 153.5 Å³ per cell
# D(E_F) = 0.712 states/eV per atom
# distance to the lowest polymorph of the same formula = 116 meV per atom
data_Li2CaOs
_chemical_formula_sum 'Li4 Ca2 Os2'
_cell_length_a 3.438
_cell_length_b 4.569
_cell_length_c 9.771
_cell_angle_alpha 90.00
_cell_angle_beta 90.00
_cell_angle_gamma 90.00
_symmetry_space_group_name_H-M 'C m m 2'
_symmetry_Int_Tables_number 35
loop_
_symmetry_equiv_pos_as_xyz
'x,y,z'
'-x,-y,z'
'-x,y,z'
'x,-y,z'
'x+1/2,y+1/2,z'
'-x+1/2,-y+1/2,z'
'-x+1/2,y+1/2,z'
'x+1/2,-y+1/2,z'
loop_
_atom_site_label
_atom_site_fract_x
_atom_site_fract_y
_atom_site_fract_z
Li1 0.000 0.000 0.000
Li2 0.000 0.500 0.262
Ca1 0.000 0.000 0.569
Os1 0.000 0.500 0.799



(6)
# TcSF2 | the Alexandria database | GGA-PBE | relaxed
# V = 207.7 Å³ per cell
# formation energy (no corrections) = -99 meV per atom
# D(E_F) = 0.293 states/eV per atom
# distance to the lowest polymorph of the same formula = 1106 meV per atom
data_TcSF2
_chemical_formula_sum 'Tc4 S4 F8'
_cell_length_a 5.922
_cell_length_b 5.922
_cell_length_c 5.922
_cell_angle_alpha 90.00
_cell_angle_beta 90.00
_cell_angle_gamma 90.00
_symmetry_space_group_name_H-M 'F m -3 m'
_symmetry_Int_Tables_number 225
_symmetry_space_group_name_Hall '-F 4 2 3'
loop_
_atom_site_label
_atom_site_fract_x
_atom_site_fract_y
_atom_site_fract_z
Tc1 0.000 0.000 0.000
S1 0.000 0.000 0.500
F1 0.250 0.250 0.250



(7)
# BaLiNd2Se4 | the Alexandria database | GGA-PBE | relaxed
# V = 902.8 Å³ per cell
# formation energy (no corrections) = -1820 meV per atom
# D(E_F) = 0.233 states/eV per atom
data_BaLiNd2Se4
_chemical_formula_sum 'Ba4 Li4 Nd8 Se16'
_cell_length_a 4.304
_cell_length_b 14.277
_cell_length_c 14.693
_cell_angle_alpha 90.00
_cell_angle_beta 90.00
_cell_angle_gamma 90.00
_symmetry_space_group_name_H-M 'C m c m'
_symmetry_Int_Tables_number 63
_symmetry_space_group_name_Hall '-C 2c 2'
loop_
_atom_site_label
_atom_site_fract_x
_atom_site_fract_y
_atom_site_fract_z
Ba1 0.000 0.115 0.250
Li1 0.000 0.155 0.750
Nd1 0.000 0.371 0.056
Se1 0.000 0.000 0.000
Se2 0.000 0.268 0.618
Se3 0.000 0.439 0.250



(8)
# NiIrRu2 | the Alexandria database | GGA-PBE | relaxed
# formation energy = 0.151 eV/f.u.
# V = 215.0 Å³ per cell
# D(E_F) = 1.336 states/eV per atom
# distance to the lowest polymorph of the same formula = 0 meV per atom
data_NiIrRu2
_chemical_formula_sum 'Ni4 Ir4 Ru8'
_cell_length_a 5.037
_cell_length_b 4.694
_cell_length_c 9.119
_cell_angle_alpha 90.00
_cell_angle_beta 94.26
_cell_angle_gamma 90.00
_symmetry_space_group_name_H-M 'P 1 21/c 1'
_symmetry_Int_Tables_number 14
loop_
_symmetry_equiv_pos_as_xyz
'x,y,z'
'-x,-y,-z'
'-x,y+1/2,-z+1/2'
'x,-y+1/2,z+1/2'
loop_
_atom_site_label
_atom_site_fract_x
_atom_site_fract_y
_atom_site_fract_z
Ni1 0.061 0.164 0.188
Ir1 0.437 0.665 0.813
Ru1 0.185 0.667 0.062
Ru2 0.311 0.164 0.938



(9)
# LuScHg | the Alexandria database | GGA-PBE | relaxed
# formation energy = -0.831 eV/f.u.
# V = 147.3 Å³ per cell
# D(E_F) = 0.906 states/eV per atom
# distance to the lowest polymorph of the same formula = 0 meV per atom
data_LuScHg
_chemical_formula_sum 'Lu2 Sc2 Hg2'
_cell_length_a 3.459
_cell_length_b 3.459
_cell_length_c 12.315
_cell_angle_alpha 90.00
_cell_angle_beta 90.00
_cell_angle_gamma 90.00
_symmetry_space_group_name_H-M 'I 4 m m'
_symmetry_Int_Tables_number 107
_symmetry_space_group_name_Hall 'I 4 -2'
loop_
_atom_site_label
_atom_site_fract_x
_atom_site_fract_y
_atom_site_fract_z
Lu1 0.000 0.000 0.000
Sc1 0.000 0.000 0.314
Hg1 0.000 0.000 0.665



(10)
# Mn5Ag3Br12 | the Alexandria database | GGA-PBE | relaxed
# V = 4535.7 Å³ per cell
# formation energy (no corrections) = -481 meV per atom
# D(E_F) = 0.444 states/eV per atom
data_Mn5Ag3Br12
_chemical_formula_sum 'Mn40 Ag24 Br96'
_cell_length_a 16.553
_cell_length_b 16.553
_cell_length_c 16.553
_cell_angle_alpha 90.00
_cell_angle_beta 90.00
_cell_angle_gamma 90.00
_symmetry_space_group_name_H-M 'I a -3 d'
_symmetry_Int_Tables_number 230
_symmetry_space_group_name_Hall '-I 4bd 2c 3'
loop_
_atom_site_label
_atom_site_fract_x
_atom_site_fract_y
_atom_site_fract_z
Mn1 0.000 0.000 0.000
Mn2 0.000 0.250 0.375
Ag1 0.000 0.250 0.125
Br1 0.027 0.059 0.650



(11)
# Pm3PrNd2N6 | the Alexandria database | GGA-PBE | relaxed
# V = 409.4 Å³ per cell
# formation energy (no corrections) = -1384 meV per atom
# D(E_F) = 0.120 states/eV per atom
data_Pm3PrNd2N6
_chemical_formula_sum 'Pm6 Pr2 Nd4 N12'
_cell_length_a 15.863
_cell_length_b 3.641
_cell_length_c 7.282
_cell_angle_alpha 90.00
_cell_angle_beta 103.28
_cell_angle_gamma 90.00
_symmetry_space_group_name_H-M 'C 1 2/m 1'
_symmetry_Int_Tables_number 12
loop_
_symmetry_equiv_pos_as_xyz
'x,y,z'
'-x,-y,-z'
'-x,y,-z'
'x,-y,z'
'x+1/2,y+1/2,z'
'-x+1/2,-y+1/2,-z'
'-x+1/2,y+1/2,-z'
'x+1/2,-y+1/2,z'
loop_
_atom_site_label
_atom_site_fract_x
_atom_site_fract_y
_atom_site_fract_z
Pm1 0.000 0.000 0.000
Pm2 0.167 0.500 0.333
Pr1 0.000 0.000 0.500
Nd1 0.167 0.500 0.834
N1 0.000 0.500 0.247
N2 0.166 0.000 0.085
N3 0.168 0.000 0.582



(12)
# BaS | the Alexandria database | GGA-PBE | relaxed
# V = 269.2 Å³ per cell
# formation energy (no corrections) = -2081 meV per atom
# D(E_F) = 0.000 states/eV per atom
# distance to the lowest polymorph of the same formula = 0 meV per atom
data_BaS
_chemical_formula_sum 'Ba4 S4'
_cell_length_a 6.457
_cell_length_b 6.457
_cell_length_c 6.457
_cell_angle_alpha 90.00
_cell_angle_beta 90.00
_cell_angle_gamma 90.00
_symmetry_space_group_name_H-M 'F m -3 m'
_symmetry_Int_Tables_number 225
_symmetry_space_group_name_Hall '-F 4 2 3'
loop_
_atom_site_label
_atom_site_fract_x
_atom_site_fract_y
_atom_site_fract_z
Ba1 0.000 0.000 0.000
S1 0.000 0.000 0.500